# MgFeCu2 | Alexandria via LeMat-Bulk | PBE-GGA | optimized geometry
# - ΔE_f (meV per atom) = 211
# - calculated volume (Å³/atom) = 13.552
# - crystal system = trigonal
# - calculated density (kg/m³) = 6348
data_MgFeCu2
_chemical_formula_sum 'Mg3 Fe3 Cu6'
_space_group_name_H-M_alt 'R 3 m'
_space_group_IT_number 160
_space_group_name_Hall 'R 3 -2"'
_cell_length_a 2.7064
_cell_length_b 2.7064
_cell_length_c 25.6374
_cell_angle_alpha 90.00
_cell_angle_beta 90.00
_cell_angle_gamma 120.00
loop_
_atom_site_label
_atom_site_fract_x
_atom_site_fract_y
_atom_site_fract_z
_atom_site_occupancy
Mg1 0.0000 0.0000 0.0000 1
Fe1 0.0000 0.0000 0.2455 1
Cu1 0.0000 0.0000 0.4995 1
Cu2 0.0000 0.0000 0.7537 1